Mg2InRh | PBEsol | optimized geometry

Structure (POSCAR):
```
Mg2InRh
1.0
-4.332 1.507 -0.487
-3.433 -2.075 2.277
-2.093 2.168 3.491
Mg Rh In
2 1 1
Direct
0.000 0.000 0.000
0.750 0.750 0.750
0.250 0.250 0.250
0.500 0.500 0.500
```

total moment = 0.0 μB per cell
total energy = -3.93 eV per atom
formation enthalpy at 0 K = -0.296 eV per atom

***

Co3Ir | PBEsol | optimized geometry

Structure (POSCAR):
```
Co3Ir
1.0
4.057 0.000 0.000
0.000 4.377 0.000
0.000 0.000 5.061
Ir Co
2 6
Direct
0.000 0.666 0.000
0.500 0.334 0.500
0.500 0.327 0.000
0.000 0.163 0.751
0.500 0.837 0.749
0.000 0.673 0.500
0.000 0.163 0.249
0.500 0.837 0.251
```

total moment = 8.5 μB per cell
total energy = -8.24 eV per atom
formation enthalpy at 0 K = 0.021 eV per atom

***

Y2CdRh | PBEsol | optimized geometry

Structure (POSCAR):
```
Y2CdRh
1.0
3.575 0.000 0.000
0.000 4.941 0.000
0.000 0.000 4.941
Y Rh Cd
2 1 1
Direct
0.000 0.000 0.500
0.000 0.500 0.000
0.500 0.000 0.000
0.500 0.500 0.500
```

total moment = 0.0 μB per cell
total energy = -6.26 eV per atom
formation enthalpy at 0 K = -0.511 eV per atom

***

MnNiBr2 | PBEsol | optimized geometry

Structure (POSCAR):
```
MnNiBr2
1.0
-0.421 -4.548 -0.564
3.605 -2.757 0.764
0.031 -2.786 3.663
Br Mn Ni
2 1 1
Direct
0.750 0.750 0.750
0.250 0.250 0.250
0.500 0.500 0.500
0.000 0.000 0.000
```

total moment = 5.1 μB per cell
energy above the lowest structure with this stoichiometry = 0.506 eV/atom
total energy = -4.53 eV per atom
formation energy (no corrections) = 0.38 eV per atom

***

BeAlWS2 | PBEsol | optimized geometry

Structure (POSCAR):
```
BeAlWS2
1.0
-3.731 -0.284 2.177
-1.538 -2.724 -2.992
1.795 -3.842 2.575
Be S Al W
1 2 1 1
Direct
0.500 0.500 0.500
0.000 0.500 0.000
0.500 0.000 0.000
0.000 0.000 0.000
0.000 0.000 0.500
```

total moment = 0.9 μB per cell
total energy = -4.68 eV per atom
formation energy (no corrections) = 1.46 eV per atom

***

CaAl2O4 | PBEsol | optimized geometry

Structure (POSCAR):
```
CaAl2O4
1.0
3.768 0.000 0.000
0.000 5.562 -0.010
0.000 -1.377 6.910
Al Ca O
4 2 8
Direct
0.250 0.154 0.130
0.750 0.846 0.870
0.250 0.656 0.113
0.750 0.344 0.887
0.250 0.269 0.572
0.750 0.731 0.428
0.250 0.943 0.308
0.750 0.057 0.692
0.250 0.458 0.305
0.750 0.542 0.695
0.250 0.356 0.925
0.750 0.644 0.075
0.250 0.858 0.928
0.750 0.142 0.072
```

total moment = 0.0 μB per cell
energy above the lowest structure with this stoichiometry = 0.000 eV/atom
total energy = -7.58 eV per atom
formation energy (no corrections) = -3.10 eV per atom

***

EuBN2 | PBEsol | optimized geometry

Structure (POSCAR):
```
EuBN2
1.0
-3.803 3.016 -4.784
-3.754 -5.572 2.707
-6.128 2.312 3.093
Eu B N
6 6 12
Direct
0.250 0.549 0.549
0.799 0.549 0.902
0.701 0.902 0.549
0.201 0.451 0.098
0.299 0.098 0.451
0.750 0.451 0.451
0.250 0.878 0.878
0.128 0.878 0.244
0.372 0.244 0.878
0.872 0.122 0.756
0.628 0.756 0.122
0.750 0.122 0.122
0.250 0.124 0.124
0.374 0.124 0.752
0.126 0.752 0.124
0.626 0.876 0.248
0.874 0.248 0.876
0.750 0.876 0.876
0.250 0.755 0.755
0.005 0.755 0.489
0.495 0.489 0.755
0.995 0.245 0.511
0.505 0.511 0.245
0.750 0.245 0.245
```

total moment = 36.0 μB per cell
total energy = -9.90 eV per atom
formation energy (no corrections) = -1.24 eV per atom

***

KRbZr2Be | PBEsol | optimized geometry

Structure (POSCAR):
```
KRbZr2Be
1.0
-4.066 -2.403 1.213
-1.040 -0.625 -4.723
3.430 -5.798 0.012
Be K Rb Zr
1 1 1 2
Direct
0.000 0.000 0.000
0.500 0.500 0.500
0.000 0.000 0.500
0.000 0.500 0.000
0.500 0.000 0.000
```

total moment = 1.0 μB per cell
total energy = -3.83 eV per atom
formation enthalpy at 0 K = 1.037 eV per atom